Record 1
A plane-wave DFT calculation with GGA-PBE was carried out for a geometry-optimized Hf6Tl2Pb structure.

Cell lengths 9.6713, 9.6713, 4.3843 Å; angles 90.00, 90.00, 90.00 degrees
Fractional positions:
Hf: 0.0145 0.3398 0.0000
Hf: 0.1509 0.8491 0.5000
Hf: 0.1602 0.5145 0.5000
Hf: 0.3398 0.0145 0.0000
Hf: 0.3491 0.3491 0.0000
Hf: 0.4855 0.8398 0.5000
Hf: 0.5145 0.1602 0.5000
Hf: 0.6509 0.6509 0.0000
Hf: 0.6602 0.9855 0.0000
Hf: 0.8398 0.4855 0.5000
Hf: 0.8491 0.1509 0.5000
Hf: 0.9855 0.6602 0.0000
Tl: 0.1918 0.1918 0.5000
Tl: 0.3082 0.6918 0.0000
Tl: 0.6918 0.3082 0.0000
Tl: 0.8082 0.8082 0.5000
Pb: 0.0000 0.0000 0.0000
Pb: 0.5000 0.5000 0.5000

Values from the calculation:
Crystal system: tetragonal
Calculated formation energy: 0.037 eV per atom
Space group: P4_2/mnm

***

Record 2
A plane-wave DFT calculation with GGA-PBE was carried out for a geometry-optimized Hf6TlPb2 structure.

Cell lengths 9.7366, 9.7366, 4.3425 Å; angles 90.00, 90.00, 90.00 degrees
Fractional positions:
Hf: 0.0059 0.3395 0.0000
Hf: 0.1552 0.8448 0.5000
Hf: 0.1605 0.5059 0.5000
Hf: 0.3395 0.0059 0.0000
Hf: 0.3448 0.3448 0.0000
Hf: 0.4941 0.8395 0.5000
Hf: 0.5059 0.1605 0.5000
Hf: 0.6552 0.6552 0.0000
Hf: 0.6605 0.9941 0.0000
Hf: 0.8395 0.4941 0.5000
Hf: 0.8448 0.1552 0.5000
Hf: 0.9941 0.6605 0.0000
Tl: 0.0000 0.0000 0.0000
Tl: 0.5000 0.5000 0.5000
Pb: 0.1842 0.1842 0.5000
Pb: 0.3158 0.6842 0.0000
Pb: 0.6842 0.3158 0.0000
Pb: 0.8158 0.8158 0.5000

Values from the calculation:
Crystal system: tetragonal
Calculated formation energy: 0.011 eV per atom
Space group: P4_2/mnm

***

Record 3
A plane-wave DFT calculation with GGA-PBE was carried out for a geometry-optimized TmHfPb structure.

Cell lengths 3.8335, 3.8335, 10.9500 Å; angles 90.00, 90.00, 90.00 degrees
Fractional positions:
Tm: 0.2500 0.2500 0.2298
Tm: 0.7500 0.7500 0.7702
Hf: 0.2500 0.2500 0.9410
Hf: 0.7500 0.7500 0.0590
Pb: 0.2500 0.2500 0.5871
Pb: 0.7500 0.7500 0.4129

Values from the calculation:
Crystal system: tetragonal
Calculated formation energy: 0.002 eV per atom
Space group: P4/nmm
Relative energy among the computed polymorphs: 256.5 meV/atom

***

Record 4
A plane-wave DFT calculation with GGA-PBE was carried out for a geometry-optimized TmHf2Pb structure.

Cell lengths 10.7552, 10.7552, 4.3965 Å; angles 90.00, 90.00, 156.46 degrees
Fractional positions:
Tm: 0.1881 0.8119 0.7500
Tm: 0.8119 0.1881 0.2500
Hf: 0.0518 0.9482 0.2500
Hf: 0.4499 0.5501 0.2500
Hf: 0.5501 0.4499 0.7500
Hf: 0.9482 0.0518 0.7500
Pb: 0.3372 0.6628 0.7500
Pb: 0.6628 0.3372 0.2500

Values from the calculation:
Crystal system: orthorhombic
Calculated formation energy: -0.284 eV per atom
Space group: Cmcm

***

Record 5
A plane-wave DFT calculation with GGA-PBE was carried out for a geometry-optimized Tm2HfPb structure.

Cell lengths 4.6937, 4.6937, 4.6366 Å; angles 90.00, 90.00, 90.00 degrees
Fractional positions:
Tm: 0.0000 0.5000 0.0000
Tm: 0.5000 0.0000 0.0000
Hf: 0.0000 0.0000 0.5000
Pb: 0.5000 0.5000 0.5000

Values from the calculation:
Crystal system: tetragonal
Calculated formation energy: -0.089 eV per atom
Space group: P4/mmm
Relative energy among the computed polymorphs: 54.1 meV/atom

***

Record 6
A plane-wave DFT calculation with GGA-PBE was carried out for a geometry-optimized Tm3HfPb5 structure.

Cell lengths 9.4095, 9.4095, 6.2867 Å; angles 90.00, 90.00, 120.00 degrees
Fractional positions:
Tm: 0.0000 0.3830 0.2500
Tm: 0.0000 0.6170 0.7500
Tm: 0.3830 0.0000 0.2500
Tm: 0.3830 0.3830 0.7500
Tm: 0.6170 0.0000 0.7500
Tm: 0.6170 0.6170 0.2500
Hf: 0.0000 0.0000 0.0000
Hf: 0.0000 0.0000 0.5000
Pb: 0.0000 0.2785 0.7500
Pb: 0.0000 0.7215 0.2500
Pb: 0.2785 0.0000 0.7500
Pb: 0.2785 0.2785 0.2500
Pb: 0.3333 0.6667 0.0000
Pb: 0.3333 0.6667 0.5000
Pb: 0.6667 0.3333 0.0000
Pb: 0.6667 0.3333 0.5000
Pb: 0.7215 0.0000 0.2500
Pb: 0.7215 0.7215 0.7500

Values from the calculation:
Crystal system: hexagonal
Calculated formation energy: -0.287 eV per atom
Space group: P6_3/mcm

***

Record 7
A plane-wave DFT calculation with GGA-PBE was carried out for a geometry-optimized Tm2HfPb structure.

Cell lengths 10.6884, 10.6884, 10.6884 Å; angles 18.56, 18.56, 18.56 degrees
Fractional positions:
Tm: 0.2483 0.2483 0.2483
Tm: 0.7517 0.7517 0.7517
Hf: 0.5000 0.5000 0.5000
Pb: 0.0000 0.0000 0.0000

Values from the calculation:
Crystal system: trigonal
Calculated formation energy: -0.092 eV per atom
Space group: R-3m
Relative energy among the computed polymorphs: 51.1 meV/atom

***

Record 8
A plane-wave DFT calculation with GGA-PBE was carried out for a geometry-optimized TmHfPb structure.

Cell lengths 5.2058, 5.2058, 3.3547 Å; angles 90.00, 90.00, 120.00 degrees
Fractional positions:
Tm: 0.0000 0.0000 0.0000
Hf: 0.3333 0.6667 0.5000
Pb: 0.6667 0.3333 0.5000

Values from the calculation:
Crystal system: hexagonal
Calculated formation energy: 0.088 eV per atom
Space group: P-6m2
Relative energy among the computed polymorphs: 343.0 meV/atom

***

Record 9
A plane-wave DFT calculation with GGA-PBE was carried out for a geometry-optimized TmHfPb structure.

Cell lengths 8.7585, 8.7585, 8.7585 Å; angles 151.16, 151.16, 41.24 degrees
Fractional positions:
Tm: 0.1685 0.1685 0.0000
Tm: 0.8315 0.8315 0.0000
Hf: 0.0000 0.5000 0.5000
Hf: 0.5000 0.0000 0.5000
Pb: 0.3621 0.3621 0.0000
Pb: 0.6379 0.6379 0.0000

Values from the calculation:
Crystal system: tetragonal
Calculated formation energy: -0.255 eV per atom
Space group: I4/mmm
Relative energy among the computed polymorphs: 0.0 meV/atom

***

Record 10
A plane-wave DFT calculation with GGA-PBE was carried out for a geometry-optimized Tm2HfPb structure.

Cell lengths 10.6155, 10.6155, 10.6155 Å; angles 18.79, 18.79, 18.79 degrees
Fractional positions:
Tm: 0.0000 0.0000 0.0000
Tm: 0.1631 0.1631 0.1631
Hf: 0.4145 0.4145 0.4145
Pb: 0.5814 0.5814 0.5814

Values from the calculation:
Crystal system: trigonal
Calculated formation energy: -0.102 eV per atom
Space group: R3m
Relative energy among the computed polymorphs: 41.1 meV/atom

***

Record 11
A plane-wave DFT calculation with GGA-PBE was carried out for a geometry-optimized TmHfPb structure.

Cell lengths 7.4698, 7.4698, 7.4698 Å; angles 154.41, 154.41, 36.50 degrees
Fractional positions:
Tm: 0.0000 0.0000 0.0000
Hf: 0.6590 0.6590 0.0000
Pb: 0.3225 0.3225 0.0000

Values from the calculation:
Crystal system: tetragonal
Calculated formation energy: -0.072 eV per atom
Space group: I4mm
Relative energy among the computed polymorphs: 183.4 meV/atom

***

Record 12
A plane-wave DFT calculation with GGA-PBE was carried out for a geometry-optimized Tm2HfPb structure.

Cell lengths 3.3563, 3.3563, 9.4541 Å; angles 90.00, 90.00, 90.00 degrees
Fractional positions:
Tm: 0.0000 0.0000 0.2433
Tm: 0.0000 0.0000 0.7567
Hf: 0.5000 0.5000 0.0000
Pb: 0.5000 0.5000 0.5000

Values from the calculation:
Crystal system: tetragonal
Calculated formation energy: -0.143 eV per atom
Space group: P4/mmm
Relative energy among the computed polymorphs: 0.0 meV/atom

***

The records above yield Fermi-level density of states values of 7.9; 5.9; 3.3; 1.6; 5.7; 8.2; 4.6; 4.6; 4.0; 4.4; 3.7; 2.9 states/eV/f.u., respectively.